Entry 1:
Below is a PBEsol-optimized structure of RbBeCoPd2, with properties calculated at the meta-GGA SCAN level.

Values from the calculation:
Space-group type ... P4/mmm
Total magnetization ... 2.11 μB/cell
E_form ... 0.75 eV/atom

extended XYZ file:
```
5
Lattice="4.254 0.000 0.000 0.000 4.254 0.000 0.000 0.000 5.138" Properties=species:S:1:pos:R:3 pbc="T T T"
Be 0.000 0.000 0.000
Co 2.127 2.127 2.569
Rb 0.000 0.000 2.569
Pd 0.000 2.127 0.000
Pd 2.127 0.000 0.000
```

Entry 2:
Below is a PBEsol-optimized structure of HgPt2W, with properties calculated at the meta-GGA SCAN level.

Values from the calculation:
Space-group type ... Pmmm
Total magnetization ... 0.00 μB/cell
E_form ... 0.47 eV/atom

extended XYZ file:
```
4
Lattice="-1.992 1.955 0.067 -3.239 -3.253 -1.382 -0.909 -1.086 4.689" Properties=species:S:1:pos:R:3 pbc="T T T"
Hg -2.074 -2.170 1.654
Pt 0.000 0.000 0.000
Pt -1.450 0.434 2.378
W -2.616 -0.649 -0.657
```

Entry 3:
Below is a PBEsol-optimized structure of CsCrSbTe2, with properties calculated at the meta-GGA SCAN level.

Values from the calculation:
Space-group type ... P4/mmm
Formation energy from raw total energies ... 1.4707 eV/atom
Total magnetization ... 3.19 μB/cell

extended XYZ file:
```
5
Lattice="-0.865 5.184 3.092 -5.965 -1.170 0.293 0.842 -2.983 5.237" Properties=species:S:1:pos:R:3 pbc="T T T"
Cs 0.000 0.000 0.000
Sb -0.432 2.592 1.546
Te 0.421 -1.491 2.619
Te -2.982 -0.585 0.146
Cr -2.994 0.515 4.311
```

Entry 4:
Below is a PBEsol-optimized structure of InIrRu2, with properties calculated at the meta-GGA SCAN level.

Values from the calculation:
Space-group type ... P4mm
Total magnetization ... 0.00 μB/cell
E_form ... 0.10 eV/atom

extended XYZ file:
```
4
Lattice="-1.022 -1.580 -2.070 2.501 0.023 -1.252 1.974 -6.293 3.829" Properties=species:S:1:pos:R:3 pbc="T T T"
In 0.982 -3.131 1.905
Ir 2.255 -5.611 1.279
Ru 0.014 -0.044 0.027
Ru 1.189 -2.211 -0.789
```

Entry 5:
Below is a PBEsol-optimized structure of Si2RhBr, with properties calculated at the meta-GGA SCAN level.

Values from the calculation:
Space-group type ... Fm-3m
Formation energy from raw total energies ... 0.8509 eV/atom
Total magnetization ... 0.00 μB/cell

extended XYZ file:
```
4
Lattice="4.503 0.000 0.000 2.251 3.899 0.000 2.251 1.300 3.676" Properties=species:S:1:pos:R:3 pbc="T T T"
Br 0.000 0.000 0.000
Rh 4.503 2.600 1.838
Si 2.251 1.300 0.919
Si 6.754 3.899 2.757
```

Entry 6:
Below is a PBEsol-optimized structure of VFe3Cu2P6O24, with properties calculated at the meta-GGA SCAN level.

Values from the calculation:
Space-group type ... R3
Formation energy from raw total energies ... -2.0068 eV/atom
Total magnetization ... 5.00 μB/cell

extended XYZ file:
```
36
Lattice="-0.129 3.261 7.642 -7.094 3.028 3.091 -3.885 -4.016 6.151" Properties=species:S:1:pos:R:3 pbc="T T T"
O -2.156 0.869 6.143
O -4.175 1.990 4.664
O -4.114 -0.722 5.068
O -3.625 0.308 11.978
O -2.772 -0.937 2.924
O -5.221 1.595 10.503
O -7.047 4.911 9.107
O -7.146 2.387 9.130
O -4.541 4.538 8.144
O -6.886 -0.043 9.628
O -2.236 3.473 8.180
O -3.242 -1.222 9.774
O -0.801 0.502 4.027
O -8.923 -1.209 8.696
O -4.230 2.315 7.215
O -2.714 1.721 2.604
O -3.931 -0.094 7.736
O -4.059 -2.590 7.797
O -5.864 0.649 6.365
O -8.191 -0.047 6.360
O -7.470 1.933 4.944
O -6.993 2.983 11.795
O -6.926 0.294 12.201
O -8.931 1.398 10.733
P -4.003 1.717 11.461
P -7.868 3.678 8.654
P -7.617 -1.408 9.504
P -3.545 3.709 7.351
P -3.198 -1.366 8.263
P -7.109 0.491 5.440
Fe -7.092 1.451 10.779
Fe -9.555 1.955 14.523
Fe -4.004 0.819 6.086
Cu -0.006 0.001 0.010
Cu -5.547 1.135 8.431
V -1.556 0.318 2.364
```